No. 1
Computed, not measured: an optimized crystal structure of Tm5Ni2Ge at the GGA-PBE level of DFT.

As for the space-group type: No. 140. The formation energy comes out at -0.50 eV/atom. The total energy is -85.13 eV for the cell shown.

The structure in POSCAR format:
```
Tm5Ni2Ge
1.0
-2.489 5.375 -4.457
-4.532 -4.843 -3.310
-1.130 1.144 8.175
Ni Tm Ge
4 10 2
Direct
0.127 0.373 0.000
0.627 0.127 0.000
0.873 0.627 0.000
0.373 0.873 0.000
0.000 0.000 0.000
0.980 0.480 0.283
0.697 0.197 0.717
0.480 0.303 0.283
0.303 0.803 0.283
0.500 0.500 0.000
0.020 0.520 0.717
0.520 0.697 0.717
0.803 0.980 0.283
0.197 0.020 0.717
0.250 0.250 0.500
0.750 0.750 0.500
```

---

No. 2
Computed, not measured: an optimized crystal structure of Tm2Ni3Ge5 at the GGA-PBE level of DFT.

For the polymorph energy (0 for the lowest one), the calculation gives 0.0402 eV/atom. As for the space-group type: No. 36. The formation energy comes out at -0.56 eV/atom. The total energy is -109.94 eV for the cell shown.

The structure in POSCAR format:
```
Tm2Ni3Ge5
1.0
4.036 0.000 -0.688
0.000 6.708 0.000
-0.009 0.000 12.138
Ni Ge Tm
6 10 4
Direct
0.606 0.515 0.212
0.947 0.463 0.894
0.394 0.015 0.788
0.778 0.719 0.556
0.053 0.963 0.106
0.222 0.219 0.444
0.596 0.879 0.191
0.714 0.023 0.428
0.404 0.379 0.809
0.703 0.437 0.406
0.049 0.578 0.097
0.120 0.257 0.239
0.286 0.523 0.572
0.951 0.078 0.903
0.880 0.757 0.761
0.297 0.937 0.594
0.173 0.750 0.347
0.523 0.244 0.047
0.827 0.250 0.653
0.477 0.744 0.953
```

---

No. 3
Computed, not measured: an optimized crystal structure of Tm2Ni6Ge at the GGA-PBE level of DFT.

For the polymorph energy (0 for the lowest one), the calculation gives 0.0609 eV/atom. As for the space-group type: No. 225. The formation energy comes out at -0.42 eV/atom. The total energy is -52.02 eV for the cell shown.

The structure in POSCAR format:
```
Tm2Ni6Ge
1.0
5.730 0.000 0.000
2.865 4.962 0.000
2.865 1.654 4.678
Ni Tm Ge
6 2 1
Direct
0.716 0.284 0.716
0.284 0.284 0.716
0.284 0.716 0.284
0.716 0.284 0.284
0.284 0.716 0.716
0.716 0.716 0.284
0.750 0.750 0.750
0.250 0.250 0.250
0.000 0.000 0.000
```

---

No. 4
Computed, not measured: an optimized crystal structure of TmNi2Ge3 at the GGA-PBE level of DFT.

As for the space-group type: No. 12. The formation energy comes out at -0.43 eV/atom. The total energy is -64.95 eV for the cell shown.

The structure in POSCAR format:
```
TmNi2Ge3
1.0
3.800 0.000 -1.117
-0.902 6.852 -3.071
0.135 0.144 7.482
Ni Ge Tm
4 6 2
Direct
0.511 0.168 0.022
0.173 0.638 0.345
0.489 0.832 0.978
0.827 0.362 0.655
0.354 0.197 0.709
0.995 0.661 0.990
0.325 0.562 0.650
0.675 0.438 0.350
0.646 0.803 0.291
0.005 0.339 0.010
0.140 0.098 0.280
0.860 0.902 0.720
```